# Be2VMoN

An optimized crystal structure of Be2VMoN (PBE, the Alexandria database).

abc: 4.309 4.309 3.834
angles: 90.00 90.00 90.00
Atoms (fractional coordinates):
Be (0.000, 0.500, 0.000)
Be (0.500, 0.000, 0.000)
V (0.000, 0.000, 0.500)
Mo (0.500, 0.500, 0.000)
N (0.500, 0.500, 0.500)

Calculated values
Symmetry: P4/mmm
Uncorrected formation energy (eV per formula unit): 5.79

---

# BeZn2MoN4

An optimized crystal structure of BeZn2MoN4 (PBE, the Alexandria database).

abc: 6.264 5.556 5.163
angles: 90.00 90.00 90.00
Atoms (fractional coordinates):
Be (0.000, 0.170, 0.000)
Be (0.500, 0.830, 0.500)
Zn (0.249, 0.668, 0.002)
Zn (0.251, 0.332, 0.502)
Zn (0.749, 0.332, 0.502)
Zn (0.751, 0.668, 0.002)
Mo (0.000, 0.843, 0.499)
Mo (0.500, 0.157, 0.999)
N (0.000, 0.147, 0.344)
N (0.000, 0.875, 0.859)
N (0.242, 0.315, 0.900)
N (0.258, 0.685, 0.400)
N (0.500, 0.125, 0.359)
N (0.500, 0.853, 0.844)
N (0.742, 0.685, 0.400)
N (0.758, 0.315, 0.900)

Calculated values
Symmetry: Pmn2_1
Uncorrected formation energy (eV per formula unit): -2.81

---

# ZrBeMoN2

An optimized crystal structure of ZrBeMoN2 (PBE, the Alexandria database).

abc: 4.073 4.073 5.780
angles: 90.00 90.00 90.00
Atoms (fractional coordinates):
Zr (0.000, 0.000, 0.000)
Be (0.500, 0.500, 0.500)
Mo (0.000, 0.000, 0.500)
N (0.000, 0.500, 0.000)
N (0.500, 0.000, 0.000)

Calculated values
Symmetry: P4/mmm
Uncorrected formation energy (eV per formula unit): 8.34

---

# Na3BeMo

An optimized crystal structure of Na3BeMo (PBE, the Alexandria database).

abc: 5.300 5.300 5.300
angles: 90.00 90.00 90.00
Atoms (fractional coordinates):
Na (0.000, 0.000, 0.500)
Na (0.000, 0.500, 0.000)
Na (0.500, 0.000, 0.000)
Be (0.000, 0.000, 0.000)
Mo (0.500, 0.500, 0.500)

Calculated values
DFT formation energy (kcal/mol of atoms): 32.871
Polymorph energy (0 for the lowest one) (meV/atom): 0
Symmetry: Pm-3m

---

# Na3BeMo

An optimized crystal structure of Na3BeMo (PBE, the Alexandria database).

abc: 5.891 5.891 5.891
angles: 90.00 90.00 90.00
Atoms (fractional coordinates):
Na (0.000, 0.000, 0.500)
Na (0.000, 0.500, 0.000)
Na (0.500, 0.000, 0.000)
Be (0.500, 0.500, 0.500)
Mo (0.000, 0.000, 0.000)

Calculated values
DFT formation energy (kcal/mol of atoms): 40.285
Polymorph energy (0 for the lowest one) (meV/atom): 322
Symmetry: Pm-3m

---

# NaBe2Mo2

An optimized crystal structure of NaBe2Mo2 (PBE, the Alexandria database).

abc: 7.742 7.742 2.488
angles: 90.00 90.00 90.00
Atoms (fractional coordinates):
Na (0.000, 0.000, 0.000)
Na (0.500, 0.500, 0.000)
Be (0.172, 0.328, 0.000)
Be (0.328, 0.828, 0.000)
Be (0.672, 0.172, 0.000)
Be (0.828, 0.672, 0.000)
Mo (0.117, 0.617, 0.500)
Mo (0.383, 0.117, 0.500)
Mo (0.617, 0.883, 0.500)
Mo (0.883, 0.383, 0.500)

Calculated values
DFT formation energy (kcal/mol of atoms): 9.914
Symmetry: P4/mbm

---

| no. | DFT total energy (eV per atom) | calculated density (Mg/m³) | DOS(E_F) (states/eV/cell) |
| --- | --- | --- | --- |
| 1 | -5.987 | 4.17 | 6.2 |
| 2 | -6.652 | 5.39 | 0.0 |
| 3 | -6.283 | 3.88 | 6.5 |
| 4 | -2.277 | 1.94 | 3.4 |
| 5 | -1.956 | 1.41 | 7.2 |
| 6 | -5.657 | 5.19 | 4.3 |